No. 1
# KZn

A geometry-optimized KZn structure (PBE, Alexandria).

energy relative to the elements: 0.085 eV/atom
spin magnetization: 0.00 Bohr magnetons per cell
crystal system: monoclinic
Fermi-level density of states: 0.6003 states/eV/atom
electronic total energy: -1.101 eV/atom
SG: Cm (8)

Cell: 6.8351 6.8351 8.0542 Å, 82.24 82.24 38.15°
Fractional coordinates of all 6 atoms:
Zn1 0.8728 0.8728 0.7425
Zn2 0.9457 0.9457 0.0226
Zn3 0.3721 0.3721 0.9130
K1 0.6623 0.6623 0.1040
K2 0.3734 0.3734 0.3835
K3 0.6070 0.6070 0.6678



No. 2
# KZn13

A geometry-optimized KZn13 structure (PBE, Alexandria).

energy relative to the elements: -0.054 eV/atom
spin magnetization: 0.00 Bohr magnetons per cell
crystal system: cubic
Fermi-level density of states: 0.3029 states/eV/atom
electronic total energy: -1.316 eV/atom
SG: Fm-3c (226)

Cell: 8.7290 8.7290 8.7290 Å, 60.00 60.00 60.00°
Fractional coordinates of all 28 atoms:
Zn1 0.2005 0.4396 0.5604
Zn2 0.5604 0.7995 0.2005
Zn3 0.7005 0.9396 0.2995
Zn4 0.9396 0.7005 0.0604
Zn5 0.0604 0.7005 0.2995
Zn6 0.0604 0.2995 0.9396
Zn7 0.0000 0.0000 0.0000
Zn8 0.2995 0.9396 0.0604
Zn9 0.7005 0.2995 0.0604
Zn10 0.2005 0.7995 0.4396
Zn11 0.4396 0.2005 0.7995
Zn12 0.4396 0.5604 0.2005
Zn13 0.0604 0.9396 0.7005
Zn14 0.7995 0.5604 0.4396
Zn15 0.4396 0.7995 0.5604
Zn16 0.7995 0.4396 0.2005
Zn17 0.5604 0.2005 0.4396
Zn18 0.7005 0.0604 0.9396
Zn19 0.5000 0.5000 0.5000
Zn20 0.2005 0.5604 0.7995
Zn21 0.9396 0.0604 0.2995
Zn22 0.9396 0.2995 0.7005
Zn23 0.2995 0.7005 0.9396
Zn24 0.2995 0.0604 0.7005
Zn25 0.5604 0.4396 0.7995
Zn26 0.7995 0.2005 0.5604
K1 0.2500 0.2500 0.2500
K2 0.7500 0.7500 0.7500



No. 3
# K5Zn

A geometry-optimized K5Zn structure (PBE, Alexandria).

energy relative to the elements: 0.074 eV/atom
spin magnetization: 0.00 Bohr magnetons per cell
crystal system: monoclinic
Fermi-level density of states: 0.6936 states/eV/atom
electronic total energy: -1.053 eV/atom
SG: Cm (8)
polymorph energy (0 for the lowest one): 3.5 meV per atom

Cell: 8.0658 8.0658 11.2275 Å, 67.25 67.25 32.28°
Fractional coordinates of all 6 atoms:
K1 0.6355 0.6355 0.1708
K2 0.3058 0.3058 0.3877
K3 0.9753 0.9753 0.6082
K4 0.6805 0.6805 0.7635
K5 0.9316 0.9316 0.0129
Zn1 0.3046 0.3046 0.8903



No. 4
# KZn

A geometry-optimized KZn structure (PBE, Alexandria).

energy relative to the elements: 0.098 eV/atom
spin magnetization: 0.00 Bohr magnetons per cell
crystal system: orthorhombic
Fermi-level density of states: 0.5761 states/eV/atom
electronic total energy: -1.088 eV/atom
SG: Pmmn (59)

Cell: 4.5822 6.7621 15.5264 Å, 90.00 90.00 90.00°
Fractional coordinates of all 12 atoms:
Zn1 0.0000 0.4429 0.0820
Zn2 0.0000 0.4429 0.9180
Zn3 0.0000 0.5630 0.5000
Zn4 0.5000 0.4370 0.0000
Zn5 0.5000 0.5571 0.4180
Zn6 0.5000 0.5571 0.5820
K1 0.5000 0.2613 0.7743
K2 0.5000 0.0602 0.5000
K3 0.5000 0.2613 0.2257
K4 0.0000 0.7387 0.2743
K5 0.0000 0.9398 0.0000
K6 0.0000 0.7387 0.7257



No. 5
# KZn

A geometry-optimized KZn structure (PBE, Alexandria).

energy relative to the elements: 0.118 eV/atom
spin magnetization: 0.00 Bohr magnetons per cell
crystal system: orthorhombic
Fermi-level density of states: 0.4237 states/eV/atom
electronic total energy: -1.068 eV/atom
SG: Pmma (51)

Cell: 4.1183 4.6893 8.4902 Å, 90.00 90.00 90.00°
Fractional coordinates of all 4 atoms:
Zn1 0.5000 0.5000 0.7281
Zn2 0.5000 0.0000 0.6053
K1 0.0000 0.5000 0.3954
K2 0.0000 0.0000 0.9380



No. 6
# KZn2

A geometry-optimized KZn2 structure (PBE, Alexandria).

energy relative to the elements: 0.061 eV/atom
spin magnetization: 0.00 Bohr magnetons per cell
crystal system: orthorhombic
Fermi-level density of states: 0.3731 states/eV/atom
electronic total energy: -1.154 eV/atom
SG: Cmcm (63)

Cell: 9.6921 9.6921 4.5749 Å, 90.00 90.00 152.68°
Fractional coordinates of all 6 atoms:
K1 0.3939 0.6061 0.2500
K2 0.6061 0.3939 0.7500
Zn1 0.7523 0.2477 0.2500
Zn2 0.2477 0.7523 0.7500
Zn3 0.8129 0.1871 0.7500
Zn4 0.1871 0.8129 0.2500



No. 7
# KZn

A geometry-optimized KZn structure (PBE, Alexandria).

energy relative to the elements: 0.237 eV/atom
spin magnetization: 0.00 Bohr magnetons per cell
crystal system: tetragonal
Fermi-level density of states: 0.6543 states/eV/atom
electronic total energy: -0.949 eV/atom
SG: P4_2/mnm (136)

Cell: 6.9269 6.9269 6.9446 Å, 90.00 90.00 90.00°
Fractional coordinates of all 8 atoms:
K1 0.8156 0.1844 0.0000
K2 0.6844 0.6844 0.5000
K3 0.3156 0.3156 0.5000
K4 0.1844 0.8156 0.0000
Zn1 0.8640 0.1360 0.5000
Zn2 0.6360 0.6360 0.0000
Zn3 0.1360 0.8640 0.5000
Zn4 0.3640 0.3640 0.0000



No. 8
# K5Zn

A geometry-optimized K5Zn structure (PBE, Alexandria).

energy relative to the elements: 0.217 eV/atom
spin magnetization: 0.00 Bohr magnetons per cell
crystal system: cubic
Fermi-level density of states: 0.5826 states/eV/atom
electronic total energy: -0.910 eV/atom
SG: F-43m (216)
polymorph energy (0 for the lowest one): 146.2 meV per atom

Cell: 8.3575 8.3575 8.3575 Å, 60.00 60.00 60.00°
Fractional coordinates of all 6 atoms:
K1 0.2500 0.2500 0.2500
K2 0.6256 0.6256 0.6256
K3 0.6256 0.1233 0.6256
K4 0.1233 0.6256 0.6256
K5 0.6256 0.6256 0.1233
Zn1 0.0000 0.0000 0.0000



No. 9
# KZn11

A geometry-optimized KZn11 structure (PBE, Alexandria).

energy relative to the elements: -0.049 eV/atom
spin magnetization: 0.00 Bohr magnetons per cell
crystal system: tetragonal
Fermi-level density of states: 0.1328 states/eV/atom
electronic total energy: -1.308 eV/atom
SG: I4_1/amd (141)

Cell: 6.9710 8.4028 8.4028 Å, 80.09 65.49 65.49°
Fractional coordinates of all 24 atoms:
Zn1 0.4351 0.8308 0.4143
Zn2 0.0698 0.9143 0.3308
Zn3 0.7500 0.5000 0.5000
Zn4 0.0159 0.9143 0.6692
Zn5 0.1506 0.4143 0.1692
Zn6 0.0000 0.0000 0.0000
Zn7 0.8750 0.2500 0.2500
Zn8 0.8750 0.7500 0.2500
Zn9 0.7341 0.8308 0.5857
Zn10 0.5994 0.3308 0.0857
Zn11 0.0159 0.6692 0.9143
Zn12 0.7341 0.5857 0.8308
Zn13 0.3750 0.7500 0.7500
Zn14 0.0698 0.3308 0.9143
Zn15 0.8750 0.2500 0.7500
Zn16 0.1506 0.1692 0.4143
Zn17 0.6802 0.1692 0.5857
Zn18 0.4351 0.4143 0.8308
Zn19 0.6802 0.5857 0.1692
Zn20 0.5994 0.0857 0.3308
Zn21 0.3149 0.0857 0.6692
Zn22 0.3149 0.6692 0.0857
K1 0.5000 0.0000 0.0000
K2 0.2500 0.5000 0.5000



No. 10
# KZn

A geometry-optimized KZn structure (PBE, Alexandria).

energy relative to the elements: 0.206 eV/atom
spin magnetization: 0.00 Bohr magnetons per cell
crystal system: cubic
Fermi-level density of states: 0.6113 states/eV/atom
electronic total energy: -0.980 eV/atom
SG: Pm-3m (221)

Cell: 4.1782 4.1782 4.1782 Å, 90.00 90.00 90.00°
Fractional coordinates of all 2 atoms:
Zn1 0.5000 0.5000 0.5000
K1 0.0000 0.0000 0.0000



No. 11
# KZn

A geometry-optimized KZn structure (PBE, Alexandria).

energy relative to the elements: 0.145 eV/atom
spin magnetization: 0.00 Bohr magnetons per cell
crystal system: trigonal
Fermi-level density of states: 0.2557 states/eV/atom
electronic total energy: -1.041 eV/atom
SG: P-3m1 (164)

Cell: 4.3128 4.3128 10.0412 Å, 90.00 90.00 120.00°
Fractional coordinates of all 4 atoms:
K1 0.0000 0.0000 0.9237
K2 0.6667 0.3333 0.3263
Zn1 0.0000 0.0000 0.5844
Zn2 0.6667 0.3333 0.6656



No. 12
# KZn

A geometry-optimized KZn structure (PBE, Alexandria).

energy relative to the elements: 0.403 eV/atom
spin magnetization: 0.00 Bohr magnetons per cell
crystal system: hexagonal
Fermi-level density of states: 0.9797 states/eV/atom
electronic total energy: -0.783 eV/atom
SG: P6_3/mmc (194)

Cell: 5.9564 5.9564 6.9250 Å, 90.00 90.00 120.00°
Fractional coordinates of all 4 atoms:
K1 0.3333 0.6667 0.2500
K2 0.6667 0.3333 0.7500
Zn1 0.3333 0.6667 0.7500
Zn2 0.6667 0.3333 0.2500